## Tm3CdAu2 (PBE-GGA)

Data for crystalline Tm3CdAu2 at its relaxed geometry.

Symmetry   P4/mmm
Total moment   0.00 μB/atom
Uncorrected energy   -4.1803 eV per atom
Formation energy from the elements   -700 meV per atom
Density of states at the Fermi level   3.41 states/eV/f.u.

Structure (POSCAR):
```
Tm3CdAu2
1.0
3.617 0.000 0.000
0.000 3.617 0.000
0.000 0.000 10.684
Tm Cd Au
3 1 2
direct
0.000 0.000 0.000
0.000 0.000 0.322
0.000 0.000 0.678
0.500 0.500 0.500
0.500 0.500 0.166
0.500 0.500 0.834
```

---

## Tm2Cd3Au3 (PBE-GGA)

Data for crystalline Tm2Cd3Au3 at its relaxed geometry.

Symmetry   R3m
Total moment   0.00 μB/atom
Uncorrected energy   -3.2528 eV per atom
Formation energy from the elements   -563 meV per atom
Density of states at the Fermi level   3.68 states/eV/f.u.

Structure (POSCAR):
```
Tm2Cd3Au3
1.0
2.467 1.425 8.024
-2.467 1.425 8.024
0.000 -2.849 8.024
Tm Cd Au
2 3 3
direct
0.000 0.000 0.000
0.489 0.489 0.489
0.247 0.247 0.247
0.743 0.743 0.743
0.871 0.871 0.871
0.124 0.124 0.124
0.367 0.367 0.367
0.615 0.615 0.615
```